Computed, not measured: crystalline TiAsPdSe2 at its relaxed geometry at the GGA-PBE level of DFT.

a = 4.860 Å, b = 4.860 Å, c = 4.900 Å
α = 90.00°, β = 90.00°, γ = 90.00°
Sites, in units of the cell vectors:
Se1 0.000 0.500 0.000
As1 0.000 0.000 0.500
Pd1 0.500 0.500 0.500
Ti1 0.000 0.000 0.000
Se2 0.500 0.000 0.000

distance to the lowest polymorph of the same formula: 0 meV per atom
energy relative to the elements, uncorrected: 0.493 eV per formula unit
SG: No. 123